(1)
Here is crystalline Tb2Ce2Y7 at its relaxed geometry from Alexandria. Energies are from PBE.

Output
Magnetic moment: 2.380 μB per formula unit
Energy relative to the elements: 4.76 kcal/mol of atoms
Density of states at the Fermi level: 2.234 states/eV per atom

Lattice parameters (Å, degrees): 6.0091 8.0622 8.0622 92.65 74.66 74.66
With the nearest neighbours (Å) after each atom.
Positions (direct):
Tb 0.5885 0.7719 0.7719  8 Y 3.37-3.75, 2 Ce 3.45
Tb 0.4115 0.2281 0.2281  8 Y 3.37-3.75, 2 Ce 3.45
Ce 0.5000 0.7870 0.2130  4 Y 3.23-3.46, 2 Tb 3.45
Ce 0.5000 0.2130 0.7870  4 Y 3.23-3.46, 2 Tb 3.45
Y 0.1757 0.0660 0.5893  2 Y 3.21-3.31, 2 Ce 3.23-3.46, 1 Tb 3.37
Y 0.8243 0.4107 0.9340  2 Y 3.21-3.31, 2 Ce 3.23-3.46, 1 Tb 3.37
Y 0.8243 0.9340 0.4107  2 Y 3.21-3.31, 2 Ce 3.23-3.46, 1 Tb 3.37
Y 0.1757 0.5893 0.0660  2 Y 3.21-3.31, 2 Ce 3.23-3.46, 1 Tb 3.37
Y 0.0000 0.0000 0.0000  4 Y 3.31, 2 Tb 3.48
Y 0.8047 0.4080 0.4080  3 Tb 3.42-3.75, 6 Y 3.44-3.79, 2 Ce 3.76
Y 0.1953 0.5920 0.5920  3 Tb 3.42-3.75, 6 Y 3.44-3.79, 2 Ce 3.76

---

(2)
Here is crystalline Tb3CeY7 at its relaxed geometry from Alexandria. Energies are from PBE.

Output
Magnetic moment: 1.877 μB per formula unit
Energy relative to the elements: 3.74 kcal/mol of atoms
Energy relative to the lowest polymorph listed for this composition: 0 meV/atom
Density of states at the Fermi level: 1.808 states/eV per atom

Lattice parameters (Å, degrees): 9.9396 9.9396 13.1538 100.53 100.53 139.30
With the nearest neighbours (Å) after each atom.
Positions (direct):
Tb 0.9999 0.4997 0.7500  6 Y 3.42-3.48, 2 Tb 3.46
Tb 0.0000 0.0000 0.0000  10 Y 3.29-3.67, 2 Ce 3.46
Tb 0.0000 0.0000 0.5000  10 Y 3.29-3.68, 2 Ce 3.46
Tb 0.5003 0.0001 0.2500  6 Y 3.42-3.48, 2 Tb 3.46
Tb 0.4997 0.9999 0.7500  6 Y 3.42-3.48, 2 Tb 3.46
Tb 0.0001 0.5003 0.2500  6 Y 3.42-3.48, 2 Tb 3.46
Ce 0.5000 0.5000 0.0000  10 Y 3.29-3.68, 2 Tb 3.46
Ce 0.5000 0.5000 0.5000  10 Y 3.29-3.67, 2 Tb 3.46
Y 0.0883 0.9123 0.2500  3 Y 3.28-3.43, 3 Tb 3.48-3.67, 1 Ce 3.67
Y 0.0877 0.9117 0.7500  3 Y 3.28-3.43, 3 Tb 3.48-3.67, 1 Ce 3.67
Y 0.1231 0.4441 0.5320  4 Y 3.41-3.55, 3 Tb 3.42-3.48, 1 Ce 3.47
Y 0.1231 0.4441 0.0320  4 Y 3.41-3.55, 3 Tb 3.42-3.48, 1 Ce 3.47
Y 0.5559 0.8769 0.9680  4 Y 3.41-3.55, 3 Tb 3.42-3.48, 1 Ce 3.47
Y 0.5559 0.8769 0.4680  4 Y 3.41-3.55, 3 Tb 3.42-3.48, 1 Ce 3.47
Y 0.5000 0.5000 0.7500  2 Ce 3.29, 2 Tb 3.29
Y 0.5000 0.5000 0.2500  2 Ce 3.29, 2 Tb 3.29
Y 0.4441 0.1231 0.0320  4 Y 3.41-3.55, 3 Tb 3.42-3.48, 1 Ce 3.47
Y 0.4441 0.1231 0.5320  4 Y 3.41-3.55, 3 Tb 3.42-3.48, 1 Ce 3.47
Y 0.8769 0.5559 0.9680  4 Y 3.41-3.55, 3 Tb 3.42-3.48, 1 Ce 3.47
Y 0.8769 0.5559 0.4680  4 Y 3.41-3.55, 3 Tb 3.42-3.48, 1 Ce 3.47
Y 0.9123 0.0883 0.2500  3 Y 3.28-3.43, 3 Tb 3.48-3.67, 1 Ce 3.67
Y 0.9117 0.0877 0.7500  3 Y 3.28-3.43, 3 Tb 3.48-3.67, 1 Ce 3.67

---

(3)
Here is crystalline Tb2CeY3 at its relaxed geometry from Alexandria. Energies are from PBE.

Output
Magnetic moment: 0.796 μB per formula unit
Energy relative to the elements: 3.55 kcal/mol of atoms
Energy relative to the lowest polymorph listed for this composition: 96 meV/atom
Density of states at the Fermi level: 2.167 states/eV per atom

Lattice parameters (Å, degrees): 3.4519 9.1371 12.8244 78.35 82.27 79.11
With the nearest neighbours (Å) after each atom.
Positions (direct):
Tb 0.8210 0.4772 0.8807  5 Y 3.38-3.54, 4 Tb 3.45-3.58
Tb 0.1790 0.5228 0.1193  5 Y 3.38-3.54, 4 Tb 3.45-3.58
Tb 0.6569 0.1508 0.5353  2 Ce 3.29-3.47, 5 Y 3.41-3.62, 4 Tb 3.45-3.46
Tb 0.3431 0.8492 0.4647  2 Ce 3.29-3.47, 5 Y 3.41-3.62, 4 Tb 3.45-3.46
Ce 0.4529 0.4830 0.6111  1 Ce 2.79
Ce 0.5471 0.5170 0.3889  1 Ce 2.79
Y 0.0395 0.1329 0.7880  8 Y 3.45-3.69, 3 Tb 3.50-3.62
Y 0.9605 0.8671 0.2120  8 Y 3.45-3.69, 3 Tb 3.50-3.62
Y 0.6005 0.8275 0.9714  8 Y 3.31-3.69, 3 Tb 3.48-3.54
Y 0.3995 0.1725 0.0286  8 Y 3.31-3.69, 3 Tb 3.48-3.54
Y 0.7416 0.8104 0.7065  4 Tb 3.38-3.49, 5 Y 3.40-3.68
Y 0.2584 0.1896 0.2935  4 Tb 3.38-3.49, 5 Y 3.40-3.68

---

(4)
Here is crystalline Tb3CeY7 at its relaxed geometry from Alexandria. Energies are from PBE.

Output
Magnetic moment: 0.958 μB per formula unit
Energy relative to the elements: 4.87 kcal/mol of atoms
Energy relative to the lowest polymorph listed for this composition: 49 meV/atom
Density of states at the Fermi level: 1.880 states/eV per atom

Lattice parameters (Å, degrees): 8.6339 7.0784 7.0784 120.00 90.00 90.00
With the nearest neighbours (Å) after each atom.
Positions (direct):
Tb 0.7811 0.4983 0.5017  1 Ce 3.50, 4 Tb 3.50-3.58, 5 Y 3.52-3.55
Tb 0.7811 0.4983 0.9965  1 Ce 3.50, 4 Tb 3.50-3.58, 5 Y 3.52-3.55
Tb 0.7811 0.0035 0.5017  1 Ce 3.50, 4 Tb 3.50-3.58, 5 Y 3.52-3.55
Ce 0.4503 0.3333 0.6667  3 Tb 3.50, 9 Y 3.50-3.54
Y 0.1187 0.1688 0.8312  8 Y 3.49-3.59, 1 Ce 3.50, 2 Tb 3.55
Y 0.1187 0.1688 0.3377  8 Y 3.49-3.59, 1 Ce 3.50, 2 Tb 3.55
Y 0.1154 0.6667 0.3333  9 Y 3.53-3.54, 3 Tb 3.55
Y 0.4500 0.8329 0.1671  2 Tb 3.52, 7 Y 3.52-3.55, 2 Ce 3.54
Y 0.4500 0.3342 0.1671  2 Tb 3.52, 7 Y 3.52-3.55, 2 Ce 3.54
Y 0.4500 0.8329 0.6658  2 Tb 3.52, 7 Y 3.52-3.55, 2 Ce 3.54
Y 0.1187 0.6623 0.8312  8 Y 3.49-3.59, 1 Ce 3.50, 2 Tb 3.55

---

(5)
Here is crystalline Tb10CeY4 at its relaxed geometry from Alexandria. Energies are from PBE.

Output
Magnetic moment: 1.387 μB per formula unit
Energy relative to the elements: 8.19 kcal/mol of atoms
Density of states at the Fermi level: 1.846 states/eV per atom

Lattice parameters (Å, degrees): 10.5803 8.6546 8.6546 68.06 52.32 52.32
With the nearest neighbours (Å) after each atom.
Positions (direct):
Tb 0.2500 0.5000 0.5000  4 Tb 3.15, 4 Y 3.17
Tb 0.5434 0.3274 0.9016  5 Tb 3.15-3.35
Tb 0.1292 0.0984 0.3274  5 Tb 3.15-3.35
Tb 0.5550 0.9016 0.6726  5 Tb 3.15-3.35
Tb 0.7724 0.6726 0.0984  5 Tb 3.15-3.35
Tb 0.4566 0.6726 0.0984  5 Tb 3.15-3.35
Tb 0.7500 0.5000 0.5000  4 Tb 3.15, 4 Y 3.17
Tb 0.2276 0.3274 0.9016  5 Tb 3.15-3.35
Tb 0.4450 0.0984 0.3274  5 Tb 3.15-3.35
Tb 0.8708 0.9016 0.6726  5 Tb 3.15-3.35
Ce 0.0000 0.0000 0.0000  4 Y 3.27
Y 0.3314 0.7331 0.6042  2 Tb 3.17, 1 Ce 3.27, 1 Y 3.50
Y 0.9355 0.3958 0.7331  2 Tb 3.17, 1 Ce 3.27, 1 Y 3.50
Y 0.0645 0.6042 0.2669  2 Tb 3.17, 1 Ce 3.27, 1 Y 3.50
Y 0.6686 0.2669 0.3958  2 Tb 3.17, 1 Ce 3.27, 1 Y 3.50

---

(6)
Here is crystalline TbCeY2 at its relaxed geometry from Alexandria. Energies are from PBE.

Output
Magnetic moment: 0.593 μB per formula unit
Energy relative to the elements: 1.73 kcal/mol of atoms
Energy relative to the lowest polymorph listed for this composition: 27 meV/atom
Density of states at the Fermi level: 1.741 states/eV per atom

Lattice parameters (Å, degrees): 5.0296 5.0278 5.0278 90.00 90.00 90.00
With the nearest neighbours (Å) after each atom.
Positions (direct):
Y 0.0000 0.0000 0.5000  4 Y 3.56, 4 Tb 3.56, 4 Ce 3.56
Y 0.0000 0.5000 0.0000  4 Y 3.56, 4 Tb 3.56, 4 Ce 3.56
Tb 0.5000 0.5000 0.5000  4 Ce 3.56, 8 Y 3.56
Ce 0.5000 0.0000 0.0000  4 Tb 3.56, 8 Y 3.56

---

(7)
Here is crystalline TbCeY3 at its relaxed geometry from Alexandria. Energies are from PBE.

Output
Magnetic moment: 0.958 μB per formula unit
Energy relative to the elements: 4.28 kcal/mol of atoms
Energy relative to the lowest polymorph listed for this composition: 136 meV/atom
Density of states at the Fermi level: 2.044 states/eV per atom

Lattice parameters (Å, degrees): 6.0903 6.7471 9.3962 81.59 71.09 63.17
With the nearest neighbours (Å) after each atom.
Positions (direct):
Tb 0.2499 0.5002 0.5000  2 Tb 3.05, 4 Y 3.36
Tb 0.7501 0.4998 0.5000  2 Tb 3.05, 4 Y 3.36
Ce 0.1122 0.7756 0.0000  1 Ce 2.70
Ce 0.8878 0.2244 0.0000  1 Ce 2.70
Y 0.8110 0.0000 0.3775  4 Tb 3.54-3.55, 2 Ce 3.62, 6 Y 3.74-3.82
Y 0.1890 0.0000 0.6225  4 Tb 3.54-3.55, 2 Ce 3.62, 6 Y 3.74-3.82
Y 0.2613 0.2786 0.1983  2 Y 3.36-3.53, 2 Tb 3.36, 3 Ce 3.47-3.53
Y 0.4600 0.2786 0.8017  2 Y 3.36-3.53, 2 Tb 3.36, 3 Ce 3.47-3.53
Y 0.7387 0.7214 0.8017  2 Y 3.36-3.53, 2 Tb 3.36, 3 Ce 3.47-3.53
Y 0.5400 0.7214 0.1983  2 Y 3.36-3.53, 2 Tb 3.36, 3 Ce 3.47-3.53

---

(8)
Here is crystalline TbCeY2 at its relaxed geometry from Alexandria. Energies are from PBE.

Output
Magnetic moment: 1.093 μB per formula unit
Energy relative to the elements: 3.87 kcal/mol of atoms
Energy relative to the lowest polymorph listed for this composition: 120 meV/atom
Density of states at the Fermi level: 2.596 states/eV per atom

Lattice parameters (Å, degrees): 5.6865 5.6865 5.6865 60.00 60.00 60.00
With the nearest neighbours (Å) after each atom.
Positions (direct):
Y 0.2500 0.2500 0.2500  4 Ce 3.48, 4 Tb 3.48
Y 0.7500 0.7500 0.7500  4 Tb 3.48, 4 Ce 3.48
Tb 0.0000 0.0000 0.0000  8 Y 3.48
Ce 0.5000 0.5000 0.5000  8 Y 3.48

---

(9)
Here is crystalline Tb2CeY9 at its relaxed geometry from Alexandria. Energies are from PBE.

Output
Magnetic moment: 0.990 μB per formula unit
Energy relative to the elements: 0.95 kcal/mol of atoms
Density of states at the Fermi level: 1.585 states/eV per atom

Lattice parameters (Å, degrees): 5.0521 5.0521 15.1457 90.00 90.00 90.00
With the nearest neighbours (Å) after each atom.
Positions (direct):
Tb 0.0000 0.0000 0.3325  12 Y 3.57-3.58
Tb 0.0000 0.0000 0.6675  12 Y 3.57-3.58
Ce 0.0000 0.0000 0.0000  12 Y 3.56-3.57
Y 0.5000 0.5000 0.0000  8 Y 3.56, 4 Ce 3.57
Y 0.5000 0.5000 0.3344  8 Y 3.56-3.59, 4 Tb 3.57
Y 0.5000 0.5000 0.6656  8 Y 3.56-3.59, 4 Tb 3.57
Y 0.5000 0.0000 0.1656  2 Ce 3.56, 8 Y 3.56-3.59, 2 Tb 3.57
Y 0.5000 0.0000 0.5000  8 Y 3.56-3.57, 4 Tb 3.58
Y 0.5000 0.0000 0.8344  2 Ce 3.56, 8 Y 3.56-3.59, 2 Tb 3.57
Y 0.0000 0.5000 0.1656  2 Ce 3.56, 8 Y 3.56-3.59, 2 Tb 3.57
Y 0.0000 0.5000 0.5000  8 Y 3.56-3.57, 4 Tb 3.58
Y 0.0000 0.5000 0.8344  2 Ce 3.56, 8 Y 3.56-3.59, 2 Tb 3.57

---

(10)
Here is crystalline Tb7CeY3 at its relaxed geometry from Alexandria. Energies are from PBE.

Output
Magnetic moment: 0.988 μB per formula unit
Energy relative to the elements: 4.75 kcal/mol of atoms
Density of states at the Fermi level: 1.870 states/eV per atom

Lattice parameters (Å, degrees): 8.6376 7.0587 7.0587 120.00 90.00 90.00
With the nearest neighbours (Å) after each atom.
Positions (direct):
Tb 0.1191 0.1691 0.8309  1 Ce 3.46, 8 Tb 3.48-3.58, 2 Y 3.54
Tb 0.1191 0.1691 0.3383  1 Ce 3.46, 8 Tb 3.48-3.58, 2 Y 3.54
Tb 0.1191 0.6667 0.3333  9 Tb 3.50-3.53, 3 Y 3.56
Tb 0.4492 0.8325 0.1675  7 Tb 3.50-3.55, 2 Y 3.52, 2 Ce 3.53
Tb 0.4492 0.3350 0.1675  7 Tb 3.50-3.55, 2 Y 3.52, 2 Ce 3.53
Tb 0.4492 0.8325 0.6650  7 Tb 3.50-3.55, 2 Y 3.52, 2 Ce 3.53
Tb 0.1191 0.6617 0.8309  1 Ce 3.46, 8 Tb 3.48-3.58, 2 Y 3.54
Ce 0.4458 0.3333 0.6667  9 Tb 3.46-3.53, 3 Y 3.54
Y 0.7817 0.4988 0.5012  4 Y 3.50-3.55, 5 Tb 3.52-3.56, 1 Ce 3.54
Y 0.7817 0.4988 0.9977  4 Y 3.50-3.55, 5 Tb 3.52-3.56, 1 Ce 3.54
Y 0.7817 0.0023 0.5012  4 Y 3.50-3.55, 5 Tb 3.52-3.56, 1 Ce 3.54

---

- The lowest energy relative to the elements belongs to which entry?
  Tb2CeY9